# AlZnS2O

A crystal of AlZnS2O relaxed with PBEsol (meta-GGA SCAN, Alexandria).

Properties
- DOS(E_F) (states/eV per cell) = 3.60
- raw total energy (eV per atom) = -10.072

Unit cell a=4.826 b=4.826 c=3.357 alpha=90.00 beta=90.00 gamma=90.00
Space group P4/mmm (No. 123)
Asymmetric unit:
Al1 0.000 0.000 0.000 x1
Zn1 0.500 0.500 0.500 x1
S1 0.000 0.500 0.000 x2
O1 0.000 0.000 0.500 x1

---

# SrNiBr2

A crystal of SrNiBr2 relaxed with PBEsol (meta-GGA SCAN, Alexandria).

Properties
- DOS(E_F) (states/eV per cell) = 0.50
- raw total energy (eV per atom) = -20.151

Unit cell a=4.117 b=4.117 c=6.008 alpha=90.00 beta=90.00 gamma=90.00
Space group P4mm (No. 99)
Asymmetric unit:
Sr1 0.000 0.000 0.000 x1
Ni1 0.500 0.500 0.756 x1
Br1 0.000 0.000 0.525 x1
Br2 0.500 0.500 0.124 x1

---

# BaBOs3

A crystal of BaBOs3 relaxed with PBEsol (meta-GGA SCAN, Alexandria).

Properties
- DOS(E_F) (states/eV per cell) = 4.98
- raw total energy (eV per atom) = -51.523
- ΔE_f (eV per formula unit) = 5.01

Unit cell a=4.319 b=4.319 c=4.319 alpha=90.00 beta=90.00 gamma=90.00
Space group Pm-3m (No. 221)
Asymmetric unit:
Ba1 0.000 0.000 0.000 x1
B1 0.500 0.500 0.500 x1
Os1 0.000 0.500 0.500 x3

---

# SnOsPd3

A crystal of SnOsPd3 relaxed with PBEsol (meta-GGA SCAN, Alexandria).

Properties
- DOS(E_F) (states/eV per cell) = 5.76
- raw total energy (eV per atom) = -40.070
- ΔE_f (eV per formula unit) = 5.77

Unit cell a=4.759 b=4.759 c=4.759 alpha=90.00 beta=90.00 gamma=90.00
Space group Pm-3m (No. 221)
Asymmetric unit:
Sn1 0.000 0.000 0.000 x1
Os1 0.500 0.500 0.500 x1
Pd1 0.000 0.500 0.500 x3

---

# Eu4Bi3

A crystal of Eu4Bi3 relaxed with PBEsol (meta-GGA SCAN, Alexandria).

Properties
- DOS(E_F) (states/eV per cell) = 144.39
- raw total energy (eV per atom) = -65.383
- ΔE_f (eV per formula unit) = -7.09

Unit cell a=9.704 b=9.704 c=9.704 alpha=90.00 beta=90.00 gamma=90.00
Space group I-43d (No. 220)
Asymmetric unit:
Eu1 0.073 0.427 0.573 x16
Bi1 0.000 0.250 0.875 x12

---

# KBa2Sr

A crystal of KBa2Sr relaxed with PBEsol (meta-GGA SCAN, Alexandria).

Properties
- DOS(E_F) (states/eV per cell) = 9.09
- raw total energy (eV per atom) = -27.341
- ΔE_f (eV per formula unit) = 0.34

Unit cell a=14.565 b=4.307 c=7.684 alpha=90.00 beta=98.88 gamma=90.00
Space group Cm (No. 8)
Asymmetric unit:
K1 0.000 0.000 0.000 x2
Ba1 0.249 0.000 0.745 x2
Ba2 0.496 0.000 0.494 x2
Sr1 0.248 0.500 0.256 x2

---

# YAuN2

A crystal of YAuN2 relaxed with PBEsol (meta-GGA SCAN, Alexandria).

Properties
- DOS(E_F) (states/eV per cell) = 6.89
- raw total energy (eV per atom) = -28.135

Unit cell a=3.3590 b=3.3590 c=18.9997 alpha=90.00 beta=90.00 gamma=120.00
Space group R-3m (No. 166, hexagonal axes)
Asymmetric unit:
Y1 0.0000 0.0000 0.0000 x3
Au1 0.0000 0.0000 0.5000 x3
N1 0.0000 0.0000 0.1189 x6

---

# Zn3Fe

A crystal of Zn3Fe relaxed with PBEsol (meta-GGA SCAN, Alexandria).

Properties
- DOS(E_F) (states/eV per cell) = 6.12
- raw total energy (eV per atom) = -14.673
- ΔE_f (eV per formula unit) = -0.02

Unit cell a=4.407 b=8.567 c=5.404 alpha=90.00 beta=90.00 gamma=90.00
Space group Pnma (No. 62)
Asymmetric unit:
Zn1 0.102 0.250 0.124 x4
Zn2 0.243 0.505 0.378 x8
Fe1 0.123 0.250 0.639 x4

---

# CaReSb2Te

A crystal of CaReSb2Te relaxed with PBEsol (meta-GGA SCAN, Alexandria).

Properties
- DOS(E_F) (states/eV per cell) = 3.36
- raw total energy (eV per atom) = -38.346

Unit cell a=4.989 b=4.989 c=6.074 alpha=90.00 beta=90.00 gamma=90.00
Space group P4/mmm (No. 123)
Asymmetric unit:
Ca1 0.000 0.000 0.000 x1
Re1 0.500 0.500 0.500 x1
Sb1 0.000 0.500 0.500 x2
Te1 0.500 0.500 0.000 x1

---

# VIn2O5

A crystal of VIn2O5 relaxed with PBEsol (meta-GGA SCAN, Alexandria).

Properties
- DOS(E_F) (states/eV per cell) = 8.77
- raw total energy (eV per atom) = -16.542

Unit cell a=7.273 b=3.450 c=14.897 alpha=90.00 beta=90.00 gamma=90.00
Space group Pnma (No. 62)
Asymmetric unit:
V1 0.106 0.250 0.076 x4
In1 0.100 0.250 0.417 x4
In2 0.173 0.250 0.761 x4
O1 0.059 0.750 0.324 x4
O2 0.067 0.750 0.047 x4
O3 0.129 0.750 0.850 x4
O4 0.158 0.750 0.506 x4
O5 0.234 0.250 0.177 x4

---

# ScNO2F

A crystal of ScNO2F relaxed with PBEsol (meta-GGA SCAN, Alexandria).

Properties
- DOS(E_F) (states/eV per cell) = 5.72
- raw total energy (eV per atom) = -8.777

Unit cell a=4.128 b=4.128 c=4.067 alpha=90.00 beta=90.00 gamma=90.00
Space group P4/mmm (No. 123)
Asymmetric unit:
Sc1 0.000 0.000 0.000 x1
N1 0.500 0.500 0.500 x1
O1 0.000 0.500 0.000 x2
F1 0.000 0.000 0.500 x1

---

# K2LaSb

A crystal of K2LaSb relaxed with PBEsol (meta-GGA SCAN, Alexandria).

Properties
- DOS(E_F) (states/eV per cell) = 2.36
- raw total energy (eV per atom) = -24.622

Unit cell a=4.775 b=4.775 c=6.259 alpha=90.00 beta=90.00 gamma=90.00
Space group P4/mmm (No. 123)
Asymmetric unit:
K1 0.000 0.500 0.000 x2
La1 0.000 0.000 0.500 x1
Sb1 0.500 0.500 0.500 x1

---

# LiMg2H7Os

A crystal of LiMg2H7Os relaxed with PBEsol (meta-GGA SCAN, Alexandria).

Properties
- DOS(E_F) (states/eV per cell) = 0.00
- raw total energy (eV per atom) = -10.294

Unit cell a=4.6674 b=4.6674 c=10.6850 alpha=90.00 beta=90.00 gamma=120.00
Space group P6_3/mmc (No. 194)
Asymmetric unit:
Li1 0.0000 0.0000 0.2500 x2
Mg1 0.3333 0.6667 0.0756 x4
H1 0.1668 0.3336 0.5970 x12
H2 0.3333 0.6667 0.2500 x2
Os1 0.0000 0.0000 0.0000 x2

---

# Na7Ni10O20

A crystal of Na7Ni10O20 relaxed with PBEsol (meta-GGA SCAN, Alexandria).

Properties
- DOS(E_F) (states/eV per cell) = 15.99
- raw total energy (eV per atom) = -9.942

Unit cell a=2.906 b=10.843 c=12.812 alpha=108.71 beta=90.30 gamma=90.11
Space group P-1 (No. 2)
Asymmetric unit:
Na1 0.000 0.000 0.000 x1
Na2 0.023 0.406 0.826 x2
Na3 0.477 0.125 0.238 x2
Na4 0.489 0.288 0.569 x2
Ni1 0.000 0.500 0.500 x1
Ni2 0.004 0.097 0.699 x2
Ni3 0.015 0.701 0.901 x2
Ni4 0.491 0.413 0.297 x2
Ni5 0.497 0.811 0.100 x2
Ni6 0.500 0.000 0.500 x1
O1 0.002 0.466 0.652 x2
O2 0.016 0.709 0.758 x2
O3 0.019 0.880 0.440 x2
O4 0.025 0.693 0.042 x2
O5 0.034 0.066 0.838 x2
O6 0.471 0.783 0.239 x2
O7 0.479 0.980 0.638 x2
O8 0.482 0.421 0.153 x2
O9 0.487 0.174 0.047 x2
O10 0.498 0.390 0.434 x2

---

# Co2W

A crystal of Co2W relaxed with PBEsol (meta-GGA SCAN, Alexandria).

Properties
- DOS(E_F) (states/eV per cell) = 26.54
- raw total energy (eV per atom) = -34.611
- ΔE_f (eV per formula unit) = 0.46

Unit cell a=6.527 b=6.527 c=6.527 alpha=90.00 beta=90.00 gamma=90.00
Space group Fd-3m (No. 227, origin choice 2)
Asymmetric unit:
Co1 0.000 0.000 0.000 x16
W1 0.125 0.125 0.625 x8

---

# Al2CoReSn

A crystal of Al2CoReSn relaxed with PBEsol (meta-GGA SCAN, Alexandria).

Properties
- DOS(E_F) (states/eV per cell) = 2.61
- raw total energy (eV per atom) = -27.459
- ΔE_f (eV per formula unit) = 2.53

Unit cell a=4.388 b=4.388 c=4.504 alpha=90.00 beta=90.00 gamma=90.00
Space group P4/mmm (No. 123)
Asymmetric unit:
Al1 0.000 0.500 0.000 x2
Co1 0.000 0.000 0.000 x1
Re1 0.000 0.000 0.500 x1
Sn1 0.500 0.500 0.500 x1

---

# NiHRh3

A crystal of NiHRh3 relaxed with PBEsol (meta-GGA SCAN, Alexandria).

Properties
- DOS(E_F) (states/eV per cell) = 3.90
- raw total energy (eV per atom) = -24.131

Unit cell a=3.790 b=3.790 c=3.790 alpha=90.00 beta=90.00 gamma=90.00
Space group Pm-3m (No. 221)
Asymmetric unit:
Ni1 0.000 0.000 0.000 x1
H1 0.500 0.500 0.500 x1
Rh1 0.000 0.500 0.500 x3

---

# Zr2WAu2

A crystal of Zr2WAu2 relaxed with PBEsol (meta-GGA SCAN, Alexandria).

Properties
- DOS(E_F) (states/eV per cell) = 4.35
- raw total energy (eV per atom) = -53.803
- ΔE_f (eV per formula unit) = 0.38

Unit cell a=3.599 b=3.599 c=15.554 alpha=90.00 beta=90.00 gamma=90.00
Space group I4/mmm (No. 139)
Asymmetric unit:
Zr1 0.000 0.000 0.096 x4
W1 0.000 0.000 0.500 x2
Au1 0.000 0.500 0.250 x4

---

# Mn4Si4SnB2H2O18

A crystal of Mn4Si4SnB2H2O18 relaxed with PBEsol (meta-GGA SCAN, Alexandria).

Properties
- DOS(E_F) (states/eV per cell) = 0.00
- raw total energy (eV per atom) = -11.561

Unit cell a=6.987 b=7.335 c=7.646 alpha=78.53 beta=62.88 gamma=77.04
Space group P-1 (No. 2)
Asymmetric unit:
Mn1 0.040 0.287 0.265 x2
Mn2 0.457 0.723 0.736 x2
Si1 0.246 0.673 0.222 x2
Si2 0.316 0.329 0.756 x2
Sn1 0.000 0.000 0.000 x1
B1 0.180 0.123 0.565 x2
H1 0.334 0.948 0.333 x2
O1 0.023 0.747 0.413 x2
O2 0.145 0.955 0.707 x2
O3 0.154 0.224 0.965 x2
O4 0.252 0.555 0.731 x2
O5 0.254 0.804 0.019 x2
O6 0.282 0.083 0.356 x2
O7 0.283 0.451 0.206 x2
O8 0.335 0.228 0.574 x2
O9 0.434 0.728 0.265 x2

---

# Pr3Sm

A crystal of Pr3Sm relaxed with PBEsol (meta-GGA SCAN, Alexandria).

Properties
- DOS(E_F) (states/eV per cell) = 5.71
- raw total energy (eV per atom) = -43.594
- ΔE_f (eV per formula unit) = 0.04

Unit cell a=5.104 b=5.104 c=5.104 alpha=90.00 beta=90.00 gamma=90.00
Space group Pm-3m (No. 221)
Asymmetric unit:
Pr1 0.000 0.000 0.500 x3
Sm1 0.500 0.500 0.500 x1

---

# FeAgPt2

A crystal of FeAgPt2 relaxed with PBEsol (meta-GGA SCAN, Alexandria).

Properties
- DOS(E_F) (states/eV per cell) = 6.66
- raw total energy (eV per atom) = -47.675
- ΔE_f (eV per formula unit) = -0.82

Unit cell a=2.7378 b=2.7378 c=26.9136 alpha=90.00 beta=90.00 gamma=120.00
Space group R-3m (No. 166, hexagonal axes)
Asymmetric unit:
Fe1 0.0000 0.0000 0.0000 x3
Ag1 0.0000 0.0000 0.5000 x3
Pt1 0.0000 0.0000 0.2561 x6

---

# AsCSe2

A crystal of AsCSe2 relaxed with PBEsol (meta-GGA SCAN, Alexandria).

Properties
- DOS(E_F) (states/eV per cell) = 7.37
- raw total energy (eV per atom) = -16.463

Unit cell a=6.174 b=6.174 c=7.677 alpha=90.00 beta=90.00 gamma=90.00
Space group I-42d (No. 122)
Asymmetric unit:
As1 0.000 0.000 0.000 x4
C1 0.000 0.000 0.500 x4
Se1 0.179 0.750 0.625 x8